Version 1
Density functional theory data (SCAN) for a PBEsol-optimized structure of LiY2Pt.

Unit cell a=4.476 b=5.573 c=5.573 alpha=39.58 beta=90.00 gamma=90.00
Fractional positions:
1 Li 0.000 0.000 0.000
2 Y 0.000 0.291 0.291
3 Y 0.500 0.572 0.572
4 Pt 0.500 0.860 0.860

Symmetry: Amm2 (38)
Magnetic moment (μB/atom): 0.04
Volume (Å³/atom): 22.1

Version 2
Density functional theory data (SCAN) for a PBEsol-optimized structure of LiY2Pt.

Unit cell a=4.796 b=4.796 c=4.796 alpha=60.00 beta=60.00 gamma=60.00
Fractional positions:
1 Li 0.000 0.000 0.000
2 Y 0.250 0.250 0.250
3 Y 0.500 0.500 0.500
4 Pt 0.750 0.750 0.750

Symmetry: F-43m (216)
Magnetic moment (μB/atom): 0.00
Volume (Å³/atom): 19.5

Version 3
Density functional theory data (SCAN) for a PBEsol-optimized structure of LiY2Pt.

Unit cell a=4.818 b=4.818 c=3.629 alpha=90.00 beta=90.00 gamma=90.00
Fractional positions:
1 Li 0.000 0.000 0.000
2 Y 0.000 0.500 0.500
3 Y 0.500 0.000 0.500
4 Pt 0.500 0.500 0.000

Symmetry: P4/mmm (123)
Magnetic moment (μB/atom): 0.00
Volume (Å³/atom): 21.1

Quick one: most stable of them? version 3

Version 1
Density functional theory data (SCAN) for a PBEsol-optimized structure of LiZrPt2.

Unit cell a=4.716 b=4.716 c=4.716 alpha=128.62 beta=128.62 gamma=75.62
Fractional positions:
1 Li 0.000 0.000 0.000
2 Zr 0.500 0.500 0.000
3 Pt 0.250 0.750 0.500
4 Pt 0.750 0.250 0.500

Symmetry: I4/mmm (139)
Magnetic moment (μB/atom): 0.00
Volume (Å³/atom): 15.6

Version 2
Density functional theory data (SCAN) for a PBEsol-optimized structure of LiZrPt2.

Unit cell a=4.282 b=4.282 c=3.474 alpha=90.00 beta=90.00 gamma=95.67
Fractional positions:
1 Li 0.000 0.000 0.000
2 Zr 0.500 0.500 0.000
3 Pt 0.000 0.500 0.500
4 Pt 0.500 0.000 0.500

Symmetry: Cmmm (65)
Magnetic moment (μB/atom): 0.00
Volume (Å³/atom): 15.8

Version 3
Density functional theory data (SCAN) for a PBEsol-optimized structure of LiZrPt2.

Unit cell a=3.342 b=3.342 c=5.654 alpha=90.00 beta=90.00 gamma=90.00
Fractional positions:
1 Li 0.000 0.000 0.000
2 Zr 0.000 0.000 0.500
3 Pt 0.500 0.500 0.238
4 Pt 0.500 0.500 0.762

Symmetry: P4/mmm (123)
Magnetic moment (μB/atom): 0.00
Volume (Å³/atom): 15.8

Quick one: most stable of them? version 1